Computed, not measured: a relaxed structure of Dy2Pa2Rh5 at the GGA-PBE level of DFT.

Properties
Raw total energy in eV for the cell shown: -284.92
ΔE_f in eV/atom: -0.697
Total magnetization in μB/f.u.: 0.000

Cell lengths 13.910, 7.408, 7.524 Å; angles 90.00, 90.00, 90.00 degrees
Space group Cmce (No. 64)
Inequivalent atoms, fractional coordinates:
Dy 0.202 0.000 0.000 x8
Pa 0.000 0.161 0.338 x8
Rh 0.000 0.000 0.000 x4
Rh 0.123 0.143 0.644 x16